1.
# Ta3SnIr

A relaxed Ta3SnIr crystal (GGA-PBEsol, Alexandria).

Computed properties:
E_form: 915.1 meV/atom

Cell: 4.8181 4.8181 4.8181 Å, 90.00 90.00 90.00°
With the nearest neighbours (Å) after each atom.
Space group Pm-3m (No. 221)
One atom of each set of equivalent atoms:
Ta  0.0000  0.0000  0.5000  2 Ir 2.41
Sn  0.5000  0.5000  0.5000  12 Ta 3.41
Ir  0.0000  0.0000  0.0000  6 Ta 2.41

=====

2.
# LiTaTe2N

A relaxed LiTaTe2N crystal (GGA-PBEsol, Alexandria).

Computed properties:
Energy relative to the elements, uncorrected: 4.57 eV/f.u.

Cell: 4.9809 4.9809 3.4530 Å, 90.00 90.00 90.00°
With the nearest neighbours (Å) after each atom.
Space group P4/mmm (No. 123)
One atom of each set of equivalent atoms:
Li  0.0000  0.0000  0.0000  2 N 1.73
Ta  0.5000  0.5000  0.5000  8 Te 3.03
Te  0.0000  0.5000  0.0000  2 Li 2.49
N  0.0000  0.0000  0.5000  2 Li 1.73

=====

3.
# ZnCd2TcB

A relaxed ZnCd2TcB crystal (GGA-PBEsol, Alexandria).

Computed properties:
E_form: 1862.2 meV/atom

Cell: 5.0904 5.0904 4.7024 Å, 90.00 90.00 90.00°
With the nearest neighbours (Å) after each atom.
Space group P4/mmm (No. 123)
One atom of each set of equivalent atoms:
Zn  0.0000  0.0000  0.0000  2 Tc 2.35
Cd  0.0000  0.5000  0.5000  2 Tc 2.55
Tc  0.0000  0.0000  0.5000  2 Zn 2.35, 4 Cd 2.55
B  0.5000  0.5000  0.0000  8 Cd 3.46, 4 Zn 3.60

=====

4.
# Tl3RhBr

A relaxed Tl3RhBr crystal (GGA-PBEsol, Alexandria).

Computed properties:
Energy relative to the elements, uncorrected: -1.42 eV/f.u.

Cell: 5.2147 5.2147 5.2147 Å, 90.00 90.00 90.00°
With the nearest neighbours (Å) after each atom.
Space group Pm-3m (No. 221)
One atom of each set of equivalent atoms:
Tl  0.0000  0.0000  0.5000  2 Rh 2.61
Rh  0.0000  0.0000  0.0000  6 Tl 2.61
Br  0.5000  0.5000  0.5000  12 Tl 3.69

=====

5.
# Ca5La

A relaxed Ca5La crystal (GGA-PBEsol, Alexandria).

Computed properties:
E above lowest polymorph: 8.0 meV per atom
E_form: 64.3 meV/atom

Cell: 6.5880 6.5880 6.2316 Å, 90.00 90.00 120.00°
With the nearest neighbours (Å) after each atom.
Space group P-62m (No. 189)
One atom of each set of equivalent atoms:
Ca  0.0000  0.6720  0.0000  10 Ca 3.74-3.83, 2 La 3.79
Ca  0.3333  0.6667  0.5000  3 La 3.80, 9 Ca 3.80-3.82
La  0.0000  0.0000  0.5000  12 Ca 3.79-3.80

=====

6.
# Cu3BiTe2ClO8

A relaxed Cu3BiTe2ClO8 crystal (GGA-PBEsol, Alexandria).

Computed properties:
Energy relative to the elements, uncorrected: -12.80 eV/f.u.

Cell: 14.0250 9.8711 6.2122 Å, 90.00 90.00 90.00°
With the nearest neighbours (Å) after each atom.
Space group Pnma (No. 62)
One atom of each set of equivalent atoms:
Cu  0.1400  0.2500  0.1782  4 O 1.96-1.99
Cu  0.2367  0.0198  0.5274  4 O 1.93-1.95
Bi  0.1316  0.7500  0.7720  4 O 2.29-2.31
Te  0.0344  0.5650  0.2437  3 O 1.90-1.93
Cl  0.1731  0.2500  0.7712  3 Cu 2.57-2.87
O  0.0332  0.1186  0.1526  1 Te 1.90, 1 Cu 1.99
O  0.1053  0.5440  0.5071  1 Te 1.93, 1 Cu 1.95
O  0.1418  0.6075  0.0651  1 Te 1.92, 1 Cu 1.93
O  0.2367  0.1140  0.2516  3 Cu 1.95-1.96

=====

7.
# Ca2TaCl

A relaxed Ca2TaCl crystal (GGA-PBEsol, Alexandria).

Computed properties:
E above lowest polymorph: 606.4 meV per atom
Energy relative to the elements, uncorrected: 1.04 eV/f.u.

Cell: 3.2250 6.1946 10.0848 Å, 90.00 90.00 90.00°
With the nearest neighbours (Å) after each atom.
Space group Immm (No. 71)
One atom of each set of equivalent atoms:
Ca  0.0000  0.0000  0.2126  2 Cl 2.68
Ta  0.0000  0.5000  0.0000  2 Ta 3.23, 4 Ca 3.32, 4 Cl 3.49
Cl  0.0000  0.5000  0.5000  4 Ca 2.68

=====

8.
# CaSiPt

A relaxed CaSiPt crystal (GGA-PBEsol, Alexandria).

Computed properties:
Energy relative to the elements, uncorrected: -2.94 eV/f.u.

Cell: 5.8423 5.7431 7.6743 Å, 90.00 116.89 90.00°
With the nearest neighbours (Å) after each atom.
Space group P2_1/c (No. 14)
One atom of each set of equivalent atoms:
Ca  0.2056  0.1266  0.3861  4 Pt 2.93-3.22, 5 Si 3.00-3.15
Si  0.2257  0.6195  0.5488  3 Pt 2.36-2.44
Pt  0.3793  0.6085  0.3078  3 Si 2.36-2.44

=====

9.
# MnW2Se

A relaxed MnW2Se crystal (GGA-PBEsol, Alexandria).

Computed properties:
Energy relative to the elements, uncorrected: 1.52 eV/f.u.

Cell: 2.9415 2.9415 24.0753 Å, 90.00 90.00 120.00°
With the nearest neighbours (Å) after each atom.
Space group R3m (No. 160, hexagonal axes)
One atom of each set of equivalent atoms:
Mn  0.0000  0.0000  0.0000  3 W 2.49, 3 Se 2.61
W  0.0000  0.0000  0.2575  3 Mn 2.49
W  0.0000  0.0000  0.4971  3 Se 2.59, 3 W 2.82
Se  0.0000  0.0000  0.7492  3 W 2.59, 3 Mn 2.61

=====

10.
# Rb2PPd

A relaxed Rb2PPd crystal (GGA-PBEsol, Alexandria).

Computed properties:
E_form: -233.6 meV/atom

Cell: 12.7616 12.7616 4.4114 Å, 90.00 90.00 90.00°
With the nearest neighbours (Å) after each atom.
Space group I-42d (No. 122)
One atom of each set of equivalent atoms:
Rb  0.0377  0.2500  0.1250  2 P 3.27, 2 Pd 3.63
P  0.0000  0.0000  0.0000  2 Pd 2.21
Pd  0.0000  0.0000  0.5000  2 P 2.21

=====

11.
# Sr2TaVO6

A relaxed Sr2TaVO6 crystal (GGA-PBEsol, Alexandria).

Computed properties:
Energy relative to the elements, uncorrected: -29.34 eV/f.u.

Cell: 5.5569 5.5569 7.9071 Å, 90.00 90.00 90.00°
With the nearest neighbours (Å) after each atom.
Space group I4/m (No. 87)
One atom of each set of equivalent atoms:
Sr  0.0000  0.5000  0.2500  12 O 2.65-2.93
Ta  0.0000  0.0000  0.0000  6 O 1.98-1.99
V  0.0000  0.0000  0.5000  6 O 1.97
O  0.0000  0.0000  0.2511  1 V 1.97, 1 Ta 1.99
O  0.2232  0.7257  0.5000  1 V 1.97, 1 Ta 1.98

=====

12.
# Ag2AsRu

A relaxed Ag2AsRu crystal (GGA-PBEsol, Alexandria).

Computed properties:
E_form: 459.9 meV/atom

Cell: 2.7282 2.7282 8.7831 Å, 90.00 90.00 90.00°
With the nearest neighbours (Å) after each atom.
Space group P4/mmm (No. 123)
One atom of each set of equivalent atoms:
Ag  0.0000  0.0000  0.2370  4 Ag 2.73, 4 Ru 2.84, 4 As 3.01
As  0.5000  0.5000  0.5000  4 As 2.73, 8 Ag 3.01
Ru  0.5000  0.5000  0.0000  4 Ru 2.73, 8 Ag 2.84

=====

13.
# BaIn2Rh2

A relaxed BaIn2Rh2 crystal (GGA-PBEsol, Alexandria).

Computed properties:
E_form: -340.4 meV/atom

Cell: 4.6569 4.6569 10.7315 Å, 90.00 90.00 90.00°
With the nearest neighbours (Å) after each atom.
Space group I4/mmm (No. 139)
One atom of each set of equivalent atoms:
Ba  0.0000  0.0000  0.0000  8 Rh 3.55, 10 In 3.61-3.89
In  0.0000  0.0000  0.3621  4 Rh 2.62
Rh  0.0000  0.5000  0.2500  4 In 2.62

=====

14.
# BaRh2W

A relaxed BaRh2W crystal (GGA-PBEsol, Alexandria).

Computed properties:
E above lowest polymorph: 39.9 meV per atom
E_form: 196.9 meV/atom

Cell: 4.2435 4.2435 17.6760 Å, 90.00 90.00 120.00°
With the nearest neighbours (Å) after each atom.
Space group R-3m (No. 166, hexagonal axes)
One atom of each set of equivalent atoms:
Ba  0.0000  0.0000  0.0000  8 Rh 3.37-3.58
Rh  0.0000  0.0000  0.2028  3 W 2.53, 3 Rh 2.76
W  0.0000  0.0000  0.5000  6 Rh 2.53

=====

15.
# Zr2PtAu

A relaxed Zr2PtAu crystal (GGA-PBEsol, Alexandria).

Computed properties:
E_form: -717.9 meV/atom

Cell: 6.3214 7.9050 2.9267 Å, 90.00 90.00 90.00°
With the nearest neighbours (Å) after each atom.
Space group Cmmm (No. 65)
One atom of each set of equivalent atoms:
Zr  0.2500  0.2500  0.0000  4 Pt 2.92, 4 Au 2.92, 4 Zr 2.93-3.16
Pt  0.0000  0.0000  0.5000  8 Zr 2.92, 2 Pt 2.93, 2 Au 3.16
Au  0.0000  0.5000  0.5000  8 Zr 2.92, 2 Au 2.93, 2 Pt 3.16

=====

16.
# MnReW

A relaxed MnReW crystal (GGA-PBEsol, Alexandria).

Computed properties:
E above lowest polymorph: 533.6 meV per atom
E_form: 660.9 meV/atom

Cell: 5.6916 5.6916 5.6916 Å, 90.00 90.00 90.00°
With the nearest neighbours (Å) after each atom.
Space group F-43m (No. 216)
One atom of each set of equivalent atoms:
Mn  0.0000  0.0000  0.0000  4 W 2.46, 4 Re 2.46
Re  0.2500  0.2500  0.7500  4 Mn 2.46
W  0.2500  0.2500  0.2500  4 Mn 2.46

=====

17.
# CaHfZr3

A relaxed CaHfZr3 crystal (GGA-PBEsol, Alexandria).

Computed properties:
E_form: 1522.3 meV/atom

Cell: 4.9235 4.9235 4.9235 Å, 90.00 90.00 90.00°
With the nearest neighbours (Å) after each atom.
Space group Pm-3m (No. 221)
One atom of each set of equivalent atoms:
Ca  0.0000  0.0000  0.0000  6 Zr 2.46
Hf  0.5000  0.5000  0.5000  12 Zr 3.48
Zr  0.0000  0.0000  0.5000  2 Ca 2.46

=====

18.
# MnO2

A relaxed MnO2 crystal (GGA-PBEsol, Alexandria).

Computed properties:
Energy relative to the elements, uncorrected: -4.76 eV/f.u.

Cell: 2.8467 2.8467 4.7551 Å, 90.00 90.00 120.00°
With the nearest neighbours (Å) after each atom.
Space group P-3m1 (No. 164)
One atom of each set of equivalent atoms:
Mn  0.0000  0.0000  0.0000  6 O 1.90
O  0.3333  0.6667  0.1999  3 Mn 1.90

=====

19.
# LiCuAg2

A relaxed LiCuAg2 crystal (GGA-PBEsol, Alexandria).

Computed properties:
E_form: -58.3 meV/atom

Cell: 5.7445 7.1286 2.7977 Å, 90.00 90.00 90.00°
With the nearest neighbours (Å) after each atom.
Space group Cmmm (No. 65)
One atom of each set of equivalent atoms:
Li  0.0000  0.0000  0.0000  8 Ag 2.68, 2 Li 2.80, 2 Cu 2.87
Cu  0.0000  0.5000  0.0000  8 Ag 2.68, 2 Cu 2.80, 2 Li 2.87
Ag  0.2500  0.2500  0.5000  4 Li 2.68, 4 Cu 2.68, 4 Ag 2.80-2.87

=====

20.
# Mg2Ti

A relaxed Mg2Ti crystal (GGA-PBEsol, Alexandria).

Computed properties:
E_form: 260.0 meV/atom

Cell: 9.0043 5.4341 5.4309 Å, 90.00 116.34 90.00°
With the nearest neighbours (Å) after each atom.
Space group C2/c (No. 15)
One atom of each set of equivalent atoms:
Mg  0.1660  0.0996  0.2473  7 Mg 2.92-3.19, 5 Ti 2.99-3.19
Ti  0.0000  0.4180  0.7500  2 Ti 2.86, 10 Mg 2.99-3.19